1.
HfZrPO2 | meta-GGA SCAN | single point on PBEsol structure

Space group: P4/mmm

a = 3.9398 Å, b = 3.9398 Å, c = 5.3267 Å
α = 90.00°, β = 90.00°, γ = 90.00°
With the nearest neighbours (Å) after each atom.
Fractional positions:
Hf: 0.0000 0.0000 0.0000  4 P 2.79
Zr: 0.5000 0.5000 0.5000  4 O 1.97
P: 0.5000 0.5000 0.0000  2 Zr 2.66, 4 Hf 2.79
O: 0.0000 0.5000 0.5000  2 Zr 1.97
O: 0.5000 0.0000 0.5000  2 Zr 1.97

2.
Hf3PbO | meta-GGA SCAN | single point on PBEsol structure

Space group: Pm-3m

a = 4.4464 Å, b = 4.4464 Å, c = 4.4464 Å
α = 90.00°, β = 90.00°, γ = 90.00°
With the nearest neighbours (Å) after each atom.
Fractional positions:
Hf: 0.0000 0.0000 0.5000  2 O 2.22
Hf: 0.0000 0.5000 0.0000  2 O 2.22
Hf: 0.5000 0.0000 0.0000  2 O 2.22
Pb: 0.5000 0.5000 0.5000  12 Hf 3.14
O: 0.0000 0.0000 0.0000  6 Hf 2.22

3.
Hf3TePb4O13 | meta-GGA SCAN | single point on PBEsol structure

Space group: R3m

a = 7.5330 Å, b = 7.5330 Å, c = 7.5330 Å
α = 59.93°, β = 59.93°, γ = 59.93°
With the nearest neighbours (Å) after each atom.
Fractional positions:
Hf: 0.0007 0.4996 0.4996  6 O 2.05-2.10
Hf: 0.4996 0.0007 0.4996  6 O 2.05-2.10
Hf: 0.4996 0.4996 0.0007  6 O 2.05-2.10
Te: 0.4995 0.4995 0.4995  6 O 1.92-1.93
Pb: 0.0019 0.0019 0.0019  1 O 2.36
Pb: 0.5033 0.9991 0.9991  2 O 2.30-2.57
Pb: 0.9991 0.5033 0.9991  2 O 2.30-2.57
Pb: 0.9991 0.9991 0.5033  2 O 2.30-2.57
O: 0.1295 0.1295 0.1295  4 Pb 2.30-2.36
O: 0.1738 0.1738 0.5647  2 Hf 2.05
O: 0.1738 0.5647 0.1738  2 Hf 2.05
O: 0.1961 0.5649 0.5649  1 Te 1.92, 1 Hf 2.08
O: 0.4291 0.8301 0.8301  2 Hf 2.07
O: 0.4329 0.4329 0.8048  1 Te 1.93, 1 Hf 2.10
O: 0.4329 0.8048 0.4329  1 Te 1.93, 1 Hf 2.10
O: 0.5647 0.1738 0.1738  2 Hf 2.05
O: 0.5649 0.1961 0.5649  1 Te 1.92, 1 Hf 2.08
O: 0.5649 0.5649 0.1961  1 Te 1.92, 1 Hf 2.08
O: 0.8048 0.4329 0.4329  1 Te 1.93, 1 Hf 2.10
O: 0.8301 0.4291 0.8301  2 Hf 2.07
O: 0.8301 0.8301 0.4291  2 Hf 2.07

4.
Hf4TiPb5O15 | meta-GGA SCAN | single point on PBEsol structure

Space group: P1

a = 5.7799 Å, b = 9.9615 Å, c = 12.8755 Å
α = 75.09°, β = 77.37°, γ = 73.31°
With the nearest neighbours (Å) after each atom.
Fractional positions:
Hf: 0.0000 0.0000 0.0000  6 O 2.02-2.16
Hf: 0.0007 0.5004 0.4998  6 O 2.02-2.17
Hf: 0.2009 0.3987 0.1995  6 O 2.01-2.17
Hf: 0.2025 0.8982 0.7000  6 O 2.01-2.17
Hf: 0.4025 0.2990 0.8989  6 O 2.01-2.19
Hf: 0.4039 0.7998 0.3994  6 O 2.01-2.18
Hf: 0.6016 0.6988 0.0984  6 O 2.03-2.12
Hf: 0.6033 0.1988 0.5975  6 O 2.02-2.12
Ti: 0.8113 0.5981 0.7969  6 O 1.89-2.09
Ti: 0.8126 0.0987 0.2962  6 O 1.90-2.10
Pb: 0.0410 0.2508 0.7399  6 O 2.50-2.76
Pb: 0.0406 0.7502 0.2396  6 O 2.54-2.74
Pb: 0.2550 0.6440 0.9340  6 O 2.48-2.71
Pb: 0.2562 0.1443 0.4346  6 O 2.49-2.70
Pb: 0.4445 0.0464 0.1458  6 O 2.54-2.73
Pb: 0.4447 0.5460 0.6457  6 O 2.54-2.77
Pb: 0.6412 0.4365 0.3381  6 O 2.51-2.73
Pb: 0.6426 0.9369 0.8375  6 O 2.52-2.78
Pb: 0.8376 0.3516 0.0361  6 O 2.52-2.74
Pb: 0.8398 0.8506 0.5365  6 O 2.52-2.74
O: 0.0622 0.4718 0.3453  2 Hf 2.02-2.10
O: 0.0648 0.9399 0.3468  1 Ti 1.90
O: 0.0746 0.4675 0.8624  1 Ti 1.89
O: 0.0800 0.9217 0.8628  2 Hf 2.02-2.11
O: 0.1525 0.1692 0.9364  2 Hf 2.03-2.11
O: 0.1856 0.6547 0.4721  2 Hf 2.03-2.10
O: 0.2592 0.8783 0.5432  2 Hf 2.03-2.11
O: 0.2704 0.3294 0.0580  2 Hf 2.03-2.09
O: 0.2703 0.3308 0.5511  2 Hf 2.02-2.11
O: 0.2880 0.8655 0.0696  2 Hf 2.03-2.10
O: 0.3534 0.5663 0.1391  2 Hf 2.01-2.12
O: 0.3914 0.0482 0.6727  2 Hf 2.01-2.12
O: 0.4569 0.2776 0.7425  2 Hf 2.03-2.12
O: 0.4789 0.7241 0.2612  2 Hf 2.02-2.12
O: 0.4801 0.7299 0.7516  1 Hf 2.04, 1 Ti 2.09
O: 0.4932 0.2590 0.2643  1 Hf 2.04, 1 Ti 2.10
O: 0.5672 0.9674 0.3383  1 Hf 2.05, 1 Ti 2.09
O: 0.5924 0.4529 0.8665  1 Hf 2.04, 1 Ti 2.09
O: 0.6676 0.1309 0.9532  2 Hf 2.01-2.10
O: 0.6675 0.6706 0.9420  1 Hf 2.04, 1 Ti 2.09
O: 0.6820 0.1296 0.4548  1 Hf 2.04, 1 Ti 2.09
O: 0.6865 0.6672 0.4703  2 Hf 2.01-2.11
O: 0.7566 0.3681 0.5431  2 Hf 2.02-2.09
O: 0.7927 0.8486 0.0769  2 Hf 2.03-2.11
O: 0.8628 0.5242 0.1538  2 Hf 2.03-2.11
O: 0.8651 0.0754 0.1505  1 Ti 1.90
O: 0.8801 0.5289 0.6662  1 Ti 1.90
O: 0.8822 0.0580 0.6703  2 Hf 2.03-2.10
O: 0.9580 0.7560 0.7425  1 Ti 1.90
O: 0.9863 0.2419 0.2717  1 Ti 1.90

5.
HfPdO2 | meta-GGA SCAN | single point on PBEsol structure

Space group: Fm-3m

a = 3.9357 Å, b = 3.9357 Å, c = 3.9357 Å
α = 60.00°, β = 60.00°, γ = 60.00°
With the nearest neighbours (Å) after each atom.
Fractional positions:
Hf: 0.0000 0.0000 0.0000  8 O 2.41
Pd: 0.5000 0.5000 0.5000  8 O 2.41
O: 0.2500 0.2500 0.2500  4 Pd 2.41, 4 Hf 2.41
O: 0.7500 0.7500 0.7500  4 Hf 2.41, 4 Pd 2.41

6.
Hf2SiPtO | meta-GGA SCAN | single point on PBEsol structure

Space group: P4/mmm

a = 5.0549 Å, b = 5.0549 Å, c = 4.3217 Å
α = 90.00°, β = 90.00°, γ = 90.00°
With the nearest neighbours (Å) after each atom.
Fractional positions:
Hf: 0.0000 0.5000 0.0000  2 Pt 2.53
Hf: 0.5000 0.0000 0.0000  2 Pt 2.53
Si: 0.0000 0.0000 0.5000  2 Pt 2.16
Pt: 0.0000 0.0000 0.0000  2 Si 2.16
O: 0.5000 0.5000 0.5000  8 Hf 3.33, 4 Si 3.57

7.
Rb3HfO | meta-GGA SCAN | single point on PBEsol structure

Space group: Pm-3m

a = 5.6436 Å, b = 5.6436 Å, c = 5.6436 Å
α = 90.00°, β = 90.00°, γ = 90.00°
With the nearest neighbours (Å) after each atom.
Fractional positions:
Rb: 0.0000 0.0000 0.5000  2 O 2.82
Rb: 0.0000 0.5000 0.0000  2 O 2.82
Rb: 0.5000 0.0000 0.0000  2 O 2.82
Hf: 0.5000 0.5000 0.5000  12 Rb 3.99
O: 0.0000 0.0000 0.0000  6 Rb 2.82

8.
Rb2HfO | meta-GGA SCAN | single point on PBEsol structure

Space group: I-42d

a = 9.3423 Å, b = 9.3423 Å, c = 9.3423 Å
α = 92.62°, β = 92.62°, γ = 155.33°
With the nearest neighbours (Å) after each atom.
Fractional positions:
Rb: 0.3750 0.2030 0.3280  2 O 3.42, 2 Hf 3.70
Rb: 0.7970 0.1250 0.1720  2 O 3.42, 2 Hf 3.70
Rb: 0.8750 0.0470 0.6720  2 O 3.42, 2 Hf 3.70
Rb: 0.9530 0.6250 0.8280  2 O 3.42, 2 Hf 3.70
Hf: 0.2500 0.7500 0.5000  2 O 2.00
Hf: 0.5000 0.5000 0.0000  2 O 2.00
O: 0.0000 0.0000 0.0000  2 Hf 2.00
O: 0.7500 0.2500 0.5000  2 Hf 2.00

9.
Hf3ReO | meta-GGA SCAN | single point on PBEsol structure

Space group: Pm-3m

a = 4.9613 Å, b = 4.9613 Å, c = 4.9613 Å
α = 90.00°, β = 90.00°, γ = 90.00°
With the nearest neighbours (Å) after each atom.
Fractional positions:
Hf: 0.0000 0.0000 0.5000  2 Re 2.48
Hf: 0.0000 0.5000 0.0000  2 Re 2.48
Hf: 0.5000 0.0000 0.0000  2 Re 2.48
Re: 0.0000 0.0000 0.0000  6 Hf 2.48
O: 0.5000 0.5000 0.5000  12 Hf 3.51

10.
HfRe2SbO | meta-GGA SCAN | single point on PBEsol structure

Space group: P4/mmm

a = 4.1881 Å, b = 4.1881 Å, c = 4.2613 Å
α = 90.00°, β = 90.00°, γ = 90.00°
With the nearest neighbours (Å) after each atom.
Fractional positions:
Hf: 0.0000 0.0000 0.0000  2 O 2.13
Re: 0.0000 0.5000 0.5000  2 O 2.09
Re: 0.5000 0.0000 0.5000  2 O 2.09
Sb: 0.5000 0.5000 0.0000  4 Hf 2.96, 8 Re 2.99
O: 0.0000 0.0000 0.5000  4 Re 2.09, 2 Hf 2.13

11.
HfRuO2 | meta-GGA SCAN | single point on PBEsol structure

Space group: I-42d

a = 6.8120 Å, b = 6.8120 Å, c = 6.8120 Å
α = 146.17°, β = 146.17°, γ = 48.60°
With the nearest neighbours (Å) after each atom.
Fractional positions:
Hf: 0.0000 0.0000 0.0000  4 O 2.09
Hf: 0.7500 0.2500 0.5000  4 O 2.09
Ru: 0.2500 0.7500 0.5000  4 O 2.09
Ru: 0.5000 0.5000 0.0000  4 O 2.09
O: 0.1232 0.6250 0.9982  2 Hf 2.09, 2 Ru 2.09
O: 0.3750 0.3732 0.4982  2 Hf 2.09, 2 Ru 2.09
O: 0.6268 0.1250 0.0018  2 Hf 2.09, 2 Ru 2.09
O: 0.8750 0.8768 0.5018  2 Hf 2.09, 2 Ru 2.09

12.
Hf3RuO | meta-GGA SCAN | single point on PBEsol structure

Space group: Pm-3m

a = 4.3030 Å, b = 4.3030 Å, c = 4.3030 Å
α = 90.00°, β = 90.00°, γ = 90.00°
With the nearest neighbours (Å) after each atom.
Fractional positions:
Hf: 0.0000 0.0000 0.5000  2 O 2.15
Hf: 0.0000 0.5000 0.0000  2 O 2.15
Hf: 0.5000 0.0000 0.0000  2 O 2.15
Ru: 0.5000 0.5000 0.5000  12 Hf 3.04
O: 0.0000 0.0000 0.0000  6 Hf 2.15

13.
HfSO | meta-GGA SCAN | single point on PBEsol structure

Space group: P4/nmm

a = 3.5320 Å, b = 3.5320 Å, c = 6.2934 Å
α = 90.00°, β = 90.00°, γ = 90.00°
With the nearest neighbours (Å) after each atom.
Fractional positions:
Hf: 0.2500 0.2500 0.1966  4 O 2.16
Hf: 0.7500 0.7500 0.8034  4 O 2.16
S: 0.2500 0.2500 0.6268  5 Hf 2.71-2.73, 4 O 2.94, 4 S 2.96
S: 0.7500 0.7500 0.3732  5 Hf 2.71-2.73, 4 O 2.94, 4 S 2.96
O: 0.2500 0.7500 0.0000  4 Hf 2.16
O: 0.7500 0.2500 0.0000  4 Hf 2.16

14.
HfSO | meta-GGA SCAN | single point on PBEsol structure

Space group: P2_13

a = 5.6292 Å, b = 5.6292 Å, c = 5.6292 Å
α = 90.00°, β = 90.00°, γ = 90.00°
With the nearest neighbours (Å) after each atom.
Fractional positions:
Hf: 0.1798 0.3202 0.6798  3 O 2.06
Hf: 0.3202 0.6798 0.1798  3 O 2.06
Hf: 0.6798 0.1798 0.3202  3 O 2.06
Hf: 0.8202 0.8202 0.8202  3 O 2.06
S: 0.0828 0.0828 0.0828  4 Hf 2.56-2.69
S: 0.4172 0.9172 0.5828  4 Hf 2.56-2.69
S: 0.5828 0.4172 0.9172  4 Hf 2.56-2.69
S: 0.9172 0.5828 0.4172  4 Hf 2.56-2.69
O: 0.0944 0.5944 0.9056  3 Hf 2.06
O: 0.4056 0.4056 0.4056  3 Hf 2.06
O: 0.5944 0.9056 0.0944  3 Hf 2.06
O: 0.9056 0.0944 0.5944  3 Hf 2.06

15.
Hf3SO | meta-GGA SCAN | single point on PBEsol structure

Space group: Pm-3m

a = 4.6536 Å, b = 4.6536 Å, c = 4.6536 Å
α = 90.00°, β = 90.00°, γ = 90.00°
With the nearest neighbours (Å) after each atom.
Fractional positions:
Hf: 0.0000 0.0000 0.5000  2 S 2.33
Hf: 0.0000 0.5000 0.0000  2 S 2.33
Hf: 0.5000 0.0000 0.0000  2 S 2.33
S: 0.0000 0.0000 0.0000  6 Hf 2.33
O: 0.5000 0.5000 0.5000  12 Hf 3.29

16.
HfSO3 | meta-GGA SCAN | single point on PBEsol structure

Space group: Pm-3m

a = 3.8108 Å, b = 3.8108 Å, c = 3.8108 Å
α = 90.00°, β = 90.00°, γ = 90.00°
With the nearest neighbours (Å) after each atom.
Fractional positions:
Hf: 0.0000 0.0000 0.0000  12 O 2.69
S: 0.5000 0.5000 0.5000  6 O 1.91
O: 0.0000 0.5000 0.5000  2 S 1.91
O: 0.5000 0.0000 0.5000  2 S 1.91
O: 0.5000 0.5000 0.0000  2 S 1.91

17.
Hf3SbO | meta-GGA SCAN | single point on PBEsol structure

Space group: Pm-3m

a = 4.4056 Å, b = 4.4056 Å, c = 4.4056 Å
α = 90.00°, β = 90.00°, γ = 90.00°
With the nearest neighbours (Å) after each atom.
Fractional positions:
Hf: 0.0000 0.0000 0.5000  2 O 2.20
Hf: 0.0000 0.5000 0.0000  2 O 2.20
Hf: 0.5000 0.0000 0.0000  2 O 2.20
Sb: 0.5000 0.5000 0.5000  12 Hf 3.12
O: 0.0000 0.0000 0.0000  6 Hf 2.20

18.
HfZr2ScO | meta-GGA SCAN | single point on PBEsol structure

Space group: P4/mmm

a = 5.5883 Å, b = 5.5883 Å, c = 3.8446 Å
α = 90.00°, β = 90.00°, γ = 90.00°
With the nearest neighbours (Å) after each atom.
Fractional positions:
Hf: 0.0000 0.0000 0.0000  2 O 1.92
Zr: 0.0000 0.5000 0.0000  2 Hf 2.79
Zr: 0.5000 0.0000 0.0000  2 Hf 2.79
Sc: 0.5000 0.5000 0.5000  8 Zr 3.39
O: 0.0000 0.0000 0.5000  2 Hf 1.92

19.
HfSeO2 | meta-GGA SCAN | single point on PBEsol structure

Space group: R-3m

a = 9.6360 Å, b = 9.6360 Å, c = 9.6360 Å
α = 18.70°, β = 18.70°, γ = 18.70°
With the nearest neighbours (Å) after each atom.
Fractional positions:
Hf: 0.0000 0.0000 0.0000  6 O 2.06
Se: 0.5000 0.5000 0.5000  6 Se 3.13
O: 0.3684 0.3684 0.3684  3 Hf 2.06
O: 0.6316 0.6316 0.6316  3 Hf 2.06

20.
HfSiO2 | meta-GGA SCAN | single point on PBEsol structure

Space group: I-42d

a = 6.1534 Å, b = 6.1534 Å, c = 6.1534 Å
α = 128.06°, β = 128.06°, γ = 76.52°
With the nearest neighbours (Å) after each atom.
Fractional positions:
Hf: 0.0000 0.0000 0.0000  4 O 1.94
Hf: 0.7500 0.2500 0.5000  4 O 1.94
Si: 0.2500 0.7500 0.5000  4 O 2.69
Si: 0.5000 0.5000 0.0000  4 O 2.69
O: 0.0065 0.1250 0.3815  2 Hf 1.94
O: 0.3750 0.9935 0.1185  2 Hf 1.94
O: 0.7435 0.6250 0.6185  2 Hf 1.94
O: 0.8750 0.2565 0.8815  2 Hf 1.94

Listing E_form (uncorrected) for the structures above in their given order: -1.76 -0.91 -2.36 -2.71 -1.57 0.39 0.46 -0.72 0.92 -0.04 -1.64 -1.20 -2.76 -2.82 0.37 -0.34 -1.05 0.05 -2.38 -1.70 eV/atom.
Listing density for the structures above in their given order: 6.7 14.3 9.4 10.0 12.2 9.0 4.2 3.7 10.0 15.3 10.6 13.6 9.6 8.4 9.6 7.8 13.1 5.8 6.0 5.6 g/cm³.
Listing E for the structures above in their given order: -25.010 -54.914 -31.383 -32.277 -28.550 -41.972 -25.766 -28.320 -52.147 -49.711 -29.127 -47.020 -28.939 -29.001 -40.404 -18.542 -47.354 -28.859 -26.181 -22.987 eV/atom.